## 1
BaPrN after structural relaxation. Source: the Alexandria database, functional PBE-GGA.

Summary:
Calculated volume (Å³ per atom): 29.0

Geometry as POSCAR:
```
BaPrN
1.0
14.3089 0.0000 0.0000
0.0000 1.8731 3.2463
0.0000 -1.8731 3.2463
Ba Pr N
2 2 2
Direct
0.1120 0.0000 0.0000
0.8880 0.0000 0.0000
0.3937 0.4440 0.4440
0.6063 0.4440 0.4440
0.0000 0.3333 0.3333
0.5000 0.1098 0.1098
```

## 2
BaPrN after structural relaxation. Source: the Alexandria database, functional PBE-GGA.

Summary:
Calculated volume (Å³ per atom): 30.1

Geometry as POSCAR:
```
BaPrN
1.0
3.8513 0.0000 0.0000
-1.9257 3.3353 0.0000
0.0000 0.0000 7.0232
Ba Pr N
1 1 1
Direct
0.0000 0.0000 0.0000
0.3333 0.6667 0.4244
0.6667 0.3333 0.2893
```

Unit: eV/atom. Relative energies: 1 0.335; 2 0.000.

## 1
Ba3PtN after structural relaxation. Source: the Alexandria database, functional PBE-GGA.

Summary:
Calculated volume (Å³ per atom): 39.4

Geometry as POSCAR:
```
Ba3PtN
1.0
7.6894 0.0000 0.0000
0.0000 4.7252 0.0000
-2.8383 0.0000 10.8334
Ba Pt N
6 2 2
Direct
0.1518 0.2500 0.1016
0.2597 0.2500 0.7558
0.2741 0.7500 0.3854
0.7259 0.2500 0.6146
0.7403 0.7500 0.2442
0.8482 0.7500 0.8984
0.4886 0.7500 0.6790
0.5114 0.2500 0.3210
0.0184 0.7500 0.1618
0.9816 0.2500 0.8382
```

## 2
Ba3PtN after structural relaxation. Source: the Alexandria database, functional PBE-GGA.

Summary:
Calculated volume (Å³ per atom): 32.5

Geometry as POSCAR:
```
Ba3PtN
1.0
5.4567 0.0000 0.0000
0.0000 5.4567 0.0000
0.0000 0.0000 5.4567
Ba Pt N
3 1 1
Direct
0.0000 0.0000 0.5000
0.0000 0.5000 0.0000
0.5000 0.0000 0.0000
0.5000 0.5000 0.5000
0.0000 0.0000 0.0000
```

Unit: eV/atom. Relative energies: 1 0.000; 2 0.135.

## 1
BaPt3N after structural relaxation. Source: the Alexandria database, functional PBE-GGA.

Summary:
Calculated volume (Å³ per atom): 33.8

Geometry as POSCAR:
```
BaPt3N
1.0
5.5273 0.0000 0.0000
0.0000 5.5273 0.0000
0.0000 0.0000 5.5273
Ba Pt N
1 3 1
Direct
0.0000 0.0000 0.0000
0.0000 0.0000 0.5000
0.0000 0.5000 0.0000
0.5000 0.0000 0.0000
0.5000 0.5000 0.5000
```

## 2
BaPt3N after structural relaxation. Source: the Alexandria database, functional PBE-GGA.

Summary:
Calculated volume (Å³ per atom): 18.1

Geometry as POSCAR:
```
BaPt3N
1.0
4.4869 0.0000 0.0000
0.0000 4.4869 0.0000
0.0000 0.0000 4.4869
Ba Pt N
1 3 1
Direct
0.0000 0.0000 0.0000
0.0000 0.5000 0.5000
0.5000 0.0000 0.5000
0.5000 0.5000 0.0000
0.5000 0.5000 0.5000
```

Unit: eV/atom. Relative energies: 1 2.342; 2 0.000.

## 1
BaPtSN2 after structural relaxation. Source: the Alexandria database, functional PBE-GGA.

Summary:
Calculated volume (Å³ per atom): 25.3

Geometry as POSCAR:
```
BaPtSN2
1.0
4.5157 0.0000 0.0000
0.0000 4.5157 0.0000
0.0000 0.0000 6.2037
Ba Pt S N
1 1 1 2
Direct
0.0000 0.0000 0.0000
0.5000 0.5000 0.5000
0.0000 0.0000 0.5000
0.0000 0.5000 0.0000
0.5000 0.0000 0.0000
```

## 2
BaPtSN2 after structural relaxation. Source: the Alexandria database, functional PBE-GGA.

Summary:
Calculated volume (Å³ per atom): 18.0

Geometry as POSCAR:
```
BaPtSN2
1.0
4.2147 0.0000 0.0000
0.0000 4.2147 0.0000
0.0000 0.0000 5.0790
Ba Pt S N
1 1 1 2
Direct
0.0000 0.0000 0.0000
0.5000 0.5000 0.5000
0.5000 0.5000 0.0000
0.0000 0.5000 0.5000
0.5000 0.0000 0.5000
```

Unit: eV/atom. Relative energies: 1 1.818; 2 0.000.

## 1
BaPtSe2N after structural relaxation. Source: the Alexandria database, functional PBE-GGA.

Summary:
Calculated volume (Å³ per atom): 34.3

Geometry as POSCAR:
```
BaPtSe2N
1.0
6.0442 0.0000 0.0000
0.0000 6.0442 0.0000
0.0000 0.0000 4.6937
Ba Pt Se N
1 1 2 1
Direct
0.0000 0.0000 0.0000
0.5000 0.5000 0.5000
0.0000 0.5000 0.0000
0.5000 0.0000 0.0000
0.0000 0.0000 0.5000
```

## 2
BaPtSe2N after structural relaxation. Source: the Alexandria database, functional PBE-GGA.

Summary:
Calculated volume (Å³ per atom): 22.9

Geometry as POSCAR:
```
BaPtSe2N
1.0
5.4915 0.0000 0.0000
0.0000 5.4915 0.0000
0.0000 0.0000 3.7914
Ba Pt Se N
1 1 2 1
Direct
0.0000 0.0000 0.0000
0.5000 0.5000 0.5000
0.0000 0.5000 0.5000
0.5000 0.0000 0.5000
0.5000 0.5000 0.0000
```

Unit: eV/atom. Relative energies: 1 1.974; 2 0.000.

## 1
BaTePtN2 after structural relaxation. Source: the Alexandria database, functional PBE-GGA.

Summary:
Calculated volume (Å³ per atom): 29.1

Geometry as POSCAR:
```
BaTePtN2
1.0
4.4252 0.0000 0.0000
0.0000 4.4252 0.0000
0.0000 0.0000 7.4428
Ba Te Pt N
1 1 1 2
Direct
0.0000 0.0000 0.0000
0.0000 0.0000 0.5000
0.5000 0.5000 0.5000
0.0000 0.5000 0.0000
0.5000 0.0000 0.0000
```

## 2
BaTePtN2 after structural relaxation. Source: the Alexandria database, functional PBE-GGA.

Summary:
Calculated volume (Å³ per atom): 22.0

Geometry as POSCAR:
```
BaTePtN2
1.0
4.4631 0.0000 0.0000
0.0000 4.4631 0.0000
0.0000 0.0000 5.5164
Ba Te Pt N
1 1 1 2
Direct
0.0000 0.0000 0.0000
0.5000 0.5000 0.0000
0.5000 0.5000 0.5000
0.0000 0.5000 0.5000
0.5000 0.0000 0.5000
```

Unit: eV/atom. Relative energies: 1 1.144; 2 0.000.

## 1
Ba2ZnPtN after structural relaxation. Source: the Alexandria database, functional PBE-GGA.

Summary:
Calculated volume (Å³ per atom): 26.7

Geometry as POSCAR:
```
Ba2ZnPtN
1.0
5.8746 0.0000 0.0000
0.0000 5.8746 0.0000
0.0000 0.0000 3.8734
Ba Zn Pt N
2 1 1 1
Direct
0.0000 0.5000 0.0000
0.5000 0.0000 0.0000
0.0000 0.0000 0.5000
0.5000 0.5000 0.5000
0.5000 0.5000 0.0000
```

## 2
Ba2ZnPtN after structural relaxation. Source: the Alexandria database, functional PBE-GGA.

Summary:
Calculated volume (Å³ per atom): 25.2

Geometry as POSCAR:
```
Ba2ZnPtN
1.0
5.7065 0.0000 0.0000
0.0000 5.7065 0.0000
0.0000 0.0000 3.8697
Ba Zn Pt N
2 1 1 1
Direct
0.0000 0.5000 0.0000
0.5000 0.0000 0.0000
0.0000 0.0000 0.5000
0.5000 0.5000 0.5000
0.0000 0.0000 0.0000
```

Unit: eV/atom. Relative energies: 1 0.000; 2 0.016.

## 1
Ba2PuN3 after structural relaxation. Source: the Alexandria database, functional PBE-GGA.

Summary:
Calculated volume (Å³ per atom): 21.4

Geometry as POSCAR:
```
Ba2PuN3
1.0
3.0718 -6.9034 0.0000
3.0718 6.9034 0.0000
0.0000 0.0000 6.0489
Ba Pu N
4 2 6
Direct
0.1004 0.8996 0.7640
0.3996 0.6004 0.7640
0.6004 0.3996 0.2360
0.8996 0.1004 0.2360
0.2500 0.7500 0.2498
0.7500 0.2500 0.7502
0.0000 0.5000 0.0000
0.1078 0.8922 0.2676
0.3922 0.6078 0.2676
0.5000 0.0000 0.0000
0.6078 0.3922 0.7324
0.8922 0.1078 0.7324
```

## 2
Ba2PuN3 after structural relaxation. Source: the Alexandria database, functional PBE-GGA.

Summary:
Calculated volume (Å³ per atom): 21.3

Geometry as POSCAR:
```
Ba2PuN3
1.0
6.9034 -3.0195 0.0000
6.9034 3.0195 0.0000
0.0000 0.0000 6.1415
Ba Pu N
4 2 6
Direct
0.0738 0.6260 0.7500
0.3740 0.9262 0.7500
0.6260 0.0738 0.2500
0.9262 0.3740 0.2500
0.2554 0.7446 0.2500
0.7446 0.2554 0.7500
0.0000 0.0000 0.0000
0.0000 0.0000 0.5000
0.1372 0.5789 0.2500
0.4211 0.8628 0.2500
0.5789 0.1372 0.7500
0.8628 0.4211 0.7500
```

Unit: eV/atom. Relative energies: 1 0.007; 2 0.000.

## 1
Rb3BaN after structural relaxation. Source: the Alexandria database, functional PBE-GGA.

Summary:
Calculated volume (Å³ per atom): 50.2

Geometry as POSCAR:
```
Rb3BaN
1.0
6.3092 0.0000 0.0000
0.0000 6.3092 0.0000
0.0000 0.0000 6.3092
Rb Ba N
3 1 1
Direct
0.0000 0.0000 0.5000
0.0000 0.5000 0.0000
0.5000 0.0000 0.0000
0.5000 0.5000 0.5000
0.0000 0.0000 0.0000
```

## 2
Rb3BaN after structural relaxation. Source: the Alexandria database, functional PBE-GGA.

Summary:
Calculated volume (Å³ per atom): 139.8

Geometry as POSCAR:
```
Rb3BaN
1.0
8.8746 0.0000 0.0000
0.0000 8.8746 0.0000
0.0000 0.0000 8.8746
Rb Ba N
3 1 1
Direct
0.0000 0.0000 0.5000
0.0000 0.5000 0.0000
0.5000 0.0000 0.0000
0.0000 0.0000 0.0000
0.5000 0.5000 0.5000
```

Unit: eV/atom. Relative energies: 1 0.000; 2 0.688.

## 1
RbBaSN2 after structural relaxation. Source: the Alexandria database, functional PBE-GGA.

Summary:
Calculated volume (Å³ per atom): 31.8

Geometry as POSCAR:
```
RbBaSN2
1.0
5.0672 0.0000 0.0000
0.0000 5.0672 0.0000
0.0000 0.0000 6.1952
Rb Ba S N
1 1 1 2
Direct
0.0000 0.0000 0.0000
0.5000 0.5000 0.5000
0.0000 0.0000 0.5000
0.0000 0.5000 0.0000
0.5000 0.0000 0.0000
```

## 2
RbBaSN2 after structural relaxation. Source: the Alexandria database, functional PBE-GGA.

Summary:
Calculated volume (Å³ per atom): 34.7

Geometry as POSCAR:
```
RbBaSN2
1.0
5.3870 0.0000 0.0000
0.0000 5.3870 0.0000
0.0000 0.0000 5.9768
Rb Ba S N
1 1 1 2
Direct
0.0000 0.0000 0.0000
0.5000 0.5000 0.5000
0.5000 0.5000 0.0000
0.0000 0.5000 0.5000
0.5000 0.0000 0.5000
```

Unit: eV/atom. Relative energies: 1 0.300; 2 0.000.

## 1
RbBaSeN2 after structural relaxation. Source: the Alexandria database, functional PBE-GGA.

Summary:
Calculated volume (Å³ per atom): 34.0

Geometry as POSCAR:
```
RbBaSeN2
1.0
5.1252 0.0000 0.0000
0.0000 5.1252 0.0000
0.0000 0.0000 6.4657
Rb Ba Se N
1 1 1 2
Direct
0.0000 0.0000 0.0000
0.5000 0.5000 0.5000
0.0000 0.0000 0.5000
0.0000 0.5000 0.0000
0.5000 0.0000 0.0000
```

## 2
RbBaSeN2 after structural relaxation. Source: the Alexandria database, functional PBE-GGA.

Summary:
Calculated volume (Å³ per atom): 36.7

Geometry as POSCAR:
```
RbBaSeN2
1.0
5.3968 0.0000 0.0000
0.0000 5.3968 0.0000
0.0000 0.0000 6.3045
Rb Ba Se N
1 1 1 2
Direct
0.0000 0.0000 0.0000
0.5000 0.5000 0.5000
0.5000 0.5000 0.0000
0.0000 0.5000 0.5000
0.5000 0.0000 0.5000
```

Unit: eV/atom. Relative energies: 1 0.286; 2 0.000.

## 1
BaReN2 after structural relaxation. Source: the Alexandria database, functional PBE-GGA.

Summary:
Calculated volume (Å³ per atom): 18.5

Geometry as POSCAR:
```
BaReN2
1.0
-2.6163 2.6163 5.3993
2.6163 -2.6163 5.3993
2.6163 2.6163 -5.3993
Ba Re N
2 2 4
Direct
0.0000 0.0000 0.0000
0.7500 0.2500 0.5000
0.2500 0.7500 0.5000
0.5000 0.5000 0.0000
0.3156 0.6250 0.1906
0.3750 0.5656 0.6906
0.4344 0.1250 0.8094
0.8750 0.6844 0.3094
```

## 2
BaReN2 after structural relaxation. Source: the Alexandria database, functional PBE-GGA.

Summary:
Calculated volume (Å³ per atom): 14.1

Geometry as POSCAR:
```
BaReN2
1.0
0.0000 3.0418 3.0418
3.0418 0.0000 3.0418
3.0418 3.0418 0.0000
Ba Re N
1 1 2
Direct
0.0000 0.0000 0.0000
0.5000 0.5000 0.5000
0.2500 0.2500 0.2500
0.7500 0.7500 0.7500
```

## 3
BaReN2 after structural relaxation. Source: the Alexandria database, functional PBE-GGA.

Summary:
Calculated volume (Å³ per atom): 20.9

Geometry as POSCAR:
```
BaReN2
1.0
1.8792 1.0850 6.8491
-1.8792 1.0850 6.8491
0.0000 -2.1700 6.8491
Ba Re N
1 1 2
Direct
0.0000 0.0000 0.0000
0.5000 0.5000 0.5000
0.4111 0.4111 0.4111
0.5889 0.5889 0.5889
```

Unit: eV/atom. Relative energies: 1 0.000; 2 1.796; 3 0.896.

## 1
BaRe3N after structural relaxation. Source: the Alexandria database, functional PBE-GGA.

Summary:
Calculated volume (Å³ per atom): 16.5

Geometry as POSCAR:
```
BaRe3N
1.0
4.3573 0.0000 0.0000
0.0000 4.3573 0.0000
0.0000 0.0000 4.3573
Ba Re N
1 3 1
Direct
0.0000 0.0000 0.0000
0.0000 0.5000 0.5000
0.5000 0.0000 0.5000
0.5000 0.5000 0.0000
0.5000 0.5000 0.5000
```

## 2
BaRe3N after structural relaxation. Source: the Alexandria database, functional PBE-GGA.

Summary:
Calculated volume (Å³ per atom): 25.6

Geometry as POSCAR:
```
BaRe3N
1.0
5.0394 0.0000 0.0000
0.0000 5.0394 0.0000
0.0000 0.0000 5.0394
Ba Re N
1 3 1
Direct
0.0000 0.0000 0.0000
0.0000 0.0000 0.5000
0.0000 0.5000 0.0000
0.5000 0.0000 0.0000
0.5000 0.5000 0.5000
```

Unit: eV/atom. Relative energies: 1 0.000; 2 3.930.